No. 1
! TmMn3Pt4 (PBE, relaxed); values from VASP
! ΔH_f (0 K) = -4.63 eV per formula unit
! symmetry = P4/mmm
&SYSTEM
  ibrav = 0, nat = 16, ntyp = 3
/
ATOMIC_SPECIES
Mn 54.94 Mn.upf
Pt 195.08 Pt.upf
Tm 168.93 Tm.upf
ATOMIC_POSITIONS angstrom
Mn -1.5687 -4.0834 5.0149
Mn -1.8764 -1.7122 1.5513
Mn 0.3070 -2.3714 3.4636
Mn 0.0000 0.0000 0.0000
Mn -0.9440 -4.6001 -0.5086
Mn -0.6366 -6.9714 2.9550
Pt 1.5836 -5.6169 -1.4289
Pt 0.5873 -2.5305 0.7726
Pt -3.1642 -5.9546 3.8752
Pt -2.1680 -9.0410 1.6738
Pt -0.2921 -7.3290 0.1224
Pt -0.5992 -4.9576 -3.3412
Pt -1.2885 -4.2424 2.3240
Pt -1.5955 -1.8711 -1.1396
Tm 0.9322 -2.8879 -2.0599
Tm 1.2393 -5.2593 1.4037
CELL_PARAMETERS angstrom
-4.0592 -1.0528 -0.3610
1.8645 -5.7759 -4.1198
0.6141 -4.7427 6.9272



No. 2
! Ac2Nd3Dy4 (PBE, relaxed); values from VASP
! energy above the lowest structure with this stoichiometry = 0.00 eV/f.u.
! ΔH_f (0 K) = 0.78 eV per formula unit
! symmetry = P3m1
&SYSTEM
  ibrav = 0, nat = 9, ntyp = 3
/
ATOMIC_SPECIES
Dy 162.50 Dy.upf
Nd 144.24 Nd.upf
Ac 227.00 Ac.upf
ATOMIC_POSITIONS angstrom
Dy 1.8548 1.0709 11.9495
Dy 0.0000 0.0000 20.4876
Dy 0.0000 0.0000 14.7018
Dy 1.8548 1.0709 6.1895
Nd 0.0000 0.0000 26.7793
Nd 1.8548 1.0709 17.6049
Nd 0.0000 0.0000 9.0127
Ac 1.8548 1.0709 23.5323
Ac 1.8548 1.0709 2.6404
CELL_PARAMETERS angstrom
3.7096 0.0000 0.0000
-1.8548 3.2126 0.0000
0.0000 0.0000 27.2491



No. 3
! TlNi2GePd (PBE, relaxed); values from VASP
! ΔH_f (0 K) = 3.45 eV per formula unit
! symmetry = P4/mmm
&SYSTEM
  ibrav = 0, nat = 5, ntyp = 4
/
ATOMIC_SPECIES
Ge 72.64 Ge.upf
Ni 58.69 Ni.upf
Tl 204.38 Tl.upf
Pd 106.42 Pd.upf
ATOMIC_POSITIONS angstrom
Ge 0.1251 -1.9170 1.2557
Ni 1.7264 0.9929 1.3438
Ni -1.6657 0.8713 1.4961
Tl 0.1858 -0.0528 4.0956
Pd 0.0000 0.0000 0.0000
CELL_PARAMETERS angstrom
-3.3314 1.7426 2.9922
0.2501 -3.8340 2.5114
3.4527 1.9857 2.6876



No. 4
! InHPd4Pb (PBE, relaxed); values from VASP
! symmetry = Cmcm
! E = -4.6312 eV per atom
&SYSTEM
  ibrav = 0, nat = 14, ntyp = 4
/
ATOMIC_SPECIES
Pd 106.42 Pd.upf
Pb 207.20 Pb.upf
In 114.82 In.upf
H 1.01 H.upf
ATOMIC_POSITIONS angstrom
Pd -1.4314 0.0000 3.4970
Pd 1.4314 0.0000 3.4970
Pd 0.0000 4.2903 1.3638
Pd 2.8628 1.4301 5.6301
Pd 2.8628 1.4301 1.4676
Pd -1.4314 2.8602 3.4970
Pd 0.0000 4.2903 5.5263
Pd 1.4314 2.8602 3.4970
Pb 2.8628 4.2903 1.2942
Pb 0.0000 1.4301 5.6997
In 0.0000 1.4301 1.3886
In 2.8628 4.2903 5.6053
H 0.0000 4.2903 3.4700
H 2.8628 1.4301 3.5239
CELL_PARAMETERS angstrom
5.7255 0.0000 0.0000
0.0000 5.7204 0.0000
-2.8628 0.0000 6.9939



No. 5
! Tb3DyTh2 (PBE, relaxed); values from VASP
! energy above the lowest structure with this stoichiometry = 0.11 eV/f.u.
! ΔH_f (0 K) = 0.29 eV per formula unit
! symmetry = C2/c
&SYSTEM
  ibrav = 0, nat = 12, ntyp = 3
/
ATOMIC_SPECIES
Th 232.04 Th.upf
Tb 158.93 Tb.upf
Dy 162.50 Dy.upf
ATOMIC_POSITIONS angstrom
Th -7.7626 0.2021 0.6805
Th -2.7606 -0.8125 1.0592
Th -12.0426 3.6022 -2.1794
Th -7.0406 2.5876 -1.8007
Tb -5.7226 -2.7892 0.8464
Tb -4.8013 2.1789 0.9027
Tb -10.0019 0.6108 -2.0229
Tb -5.4514 -0.2986 3.3946
Tb -9.0806 5.5789 -1.9666
Tb -9.3518 3.0883 -4.5148
Dy -9.7310 3.1015 0.5285
Dy -5.0723 -0.3118 -1.6487
CELL_PARAMETERS angstrom
-8.9382 6.8133 -0.6898
-2.5535 -2.0249 -5.2566
-3.3115 -1.9986 4.8261



No. 6
! Cd2SbAu (PBE, relaxed); values from VASP
! formation energy (no corrections) = 39 meV/atom
! symmetry = P4mm
&SYSTEM
  ibrav = 0, nat = 4, ntyp = 3
/
ATOMIC_SPECIES
Au 196.97 Au.upf
Cd 112.41 Cd.upf
Sb 121.76 Sb.upf
ATOMIC_POSITIONS angstrom
Au 1.5725 1.6044 6.8789
Cd 1.5725 1.6044 2.0997
Cd 0.0000 0.0000 8.8156
Sb 0.0000 0.0000 4.7252
CELL_PARAMETERS angstrom
3.1775 0.0313 0.0000
-0.0325 3.1775 0.0000
0.0000 0.0000 9.0077



No. 7
! NaAcNdPb (PBE, relaxed); values from VASP
! ΔH_f (0 K) = -0.82 eV per formula unit
! symmetry = F-43m
&SYSTEM
  ibrav = 0, nat = 4, ntyp = 4
/
ATOMIC_SPECIES
Nd 144.24 Nd.upf
Ac 227.00 Ac.upf
Pb 207.20 Pb.upf
Na 22.99 Na.upf
ATOMIC_POSITIONS angstrom
Nd -7.6621 -6.6492 2.8427
Ac -2.5540 -2.2164 0.9476
Pb -5.1081 -4.4328 1.8951
Na 0.0000 0.0000 0.0000
CELL_PARAMETERS angstrom
-4.4266 -3.1231 -1.8817
-1.1365 -5.0908 2.3836
-4.6530 -0.6518 3.2884



No. 8
! Li2CeNpSe4 (PBE, relaxed); values from VASP
! formation energy (no corrections) = -1398 meV/atom
! symmetry = P2/m
&SYSTEM
  ibrav = 0, nat = 8, ntyp = 4
/
ATOMIC_SPECIES
Se 78.96 Se.upf
Ce 140.12 Ce.upf
Li 6.94 Li.upf
Np 237.00 Np.upf
ATOMIC_POSITIONS angstrom
Se -1.4222 -3.9708 2.3601
Se -4.2865 -4.6358 -0.5040
Se -1.7909 -3.3661 -3.2993
Se -2.7296 -1.0895 -0.0152
Ce 0.0000 0.0000 0.0000
Li -2.5242 -1.3509 2.8479
Li -1.6066 -3.6685 -0.4696
Np -2.8853 -0.7059 -2.8976
CELL_PARAMETERS angstrom
-3.8029 1.6117 0.4200
-1.9677 -3.0234 -6.2151
-1.2455 -4.3135 5.2759